YZn2Os2 | Alexandria via LeMat-Bulk | meta-GGA SCAN | single point on PBEsol structure; crystal system = tetragonal; spin magnetization = 0.000 μB per cell; density of states at the Fermi level = 2.98 states/eV/cell; SG = P4/mmm (123); calculated density = 9705 kg/m³; VASP energy = -39.337 eV/atom; energy relative to the elements = 0.390 eV per atom
1.0
4.6606 0.0000 0.0000
0.0000 4.6606 0.0000
0.0000 0.0000 4.7276
Y Zn Os
1 2 2
direct
0.0000 0.0000 0.0000
0.0000 0.5000 0.5000
0.5000 0.0000 0.5000
0.5000 0.5000 0.0000
0.5000 0.5000 0.5000